Record 1
Compound: HoTe3PbAu
Source: OQMD
Functional: PBE
Structure: optimized geometry

Cell lengths 7.749, 7.749, 11.131 Å; angles 90.00, 90.00, 147.94 degrees
Element x y z (fractional)
1 Ho 0.000 0.000 0.000
2 Ho 0.000 0.000 0.500
3 Te 0.092 0.908 0.750
4 Te 0.354 0.646 0.551
5 Te 0.354 0.646 0.949
6 Te 0.646 0.354 0.051
7 Te 0.646 0.354 0.449
8 Te 0.908 0.092 0.250
9 Pb 0.225 0.775 0.250
10 Pb 0.775 0.225 0.750
11 Au 0.468 0.532 0.750
12 Au 0.532 0.468 0.250

Summary:
**SG**: Cmcm
**E above lowest polymorph**: 0.01 eV per formula unit
**Crystal system**: orthorhombic

***

Record 2
Compound: BeCuReAs
Source: OQMD
Functional: PBE
Structure: optimized geometry

Cell lengths 4.209, 4.209, 4.209 Å; angles 60.00, 60.00, 60.00 degrees
Element x y z (fractional)
1 Be 0.000 0.000 0.000
2 Cu 0.500 0.500 0.500
3 Re 0.750 0.750 0.750
4 As 0.250 0.250 0.250

Summary:
**SG**: F-43m
**E above lowest polymorph**: 1.42 eV per formula unit
**Crystal system**: cubic

***

Record 3
Compound: HfCuTcAs
Source: OQMD
Functional: PBE
Structure: optimized geometry

Cell lengths 4.464, 4.464, 4.464 Å; angles 60.00, 60.00, 60.00 degrees
Element x y z (fractional)
1 Hf 0.000 0.000 0.000
2 Cu 0.750 0.750 0.750
3 Tc 0.250 0.250 0.250
4 As 0.500 0.500 0.500

Summary:
**SG**: F-43m
**E above lowest polymorph**: 0.00 eV per formula unit
**Crystal system**: cubic

***

Record 4
Compound: Gd3ReO7
Source: OQMD
Functional: PBE
Structure: optimized geometry

Cell lengths 6.436, 6.436, 7.451 Å; angles 90.00, 90.00, 69.25 degrees
Element x y z (fractional)
1 Gd 0.000 0.000 0.000
2 Gd 0.000 0.000 0.500
3 Gd 0.072 0.476 0.750
4 Gd 0.476 0.072 0.250
5 Gd 0.524 0.928 0.750
6 Gd 0.928 0.524 0.250
7 Re 0.500 0.500 0.000
8 Re 0.500 0.500 0.500
9 O 0.107 0.157 0.250
10 O 0.157 0.107 0.750
11 O 0.180 0.564 0.038
12 O 0.180 0.564 0.462
13 O 0.421 0.579 0.750
14 O 0.436 0.820 0.038
15 O 0.436 0.820 0.462
16 O 0.564 0.180 0.538
17 O 0.564 0.180 0.962
18 O 0.579 0.421 0.250
19 O 0.820 0.436 0.538
20 O 0.820 0.436 0.962
21 O 0.843 0.893 0.250
22 O 0.893 0.843 0.750

Summary:
**SG**: Cmcm
**Crystal system**: orthorhombic

***

Record 5
Compound: ZrAlCdFe
Source: OQMD
Functional: PBE
Structure: optimized geometry

Cell lengths 4.621, 4.621, 4.621 Å; angles 60.00, 60.00, 60.00 degrees
Element x y z (fractional)
1 Zr 0.000 0.000 0.000
2 Al 0.250 0.250 0.250
3 Cd 0.750 0.750 0.750
4 Fe 0.500 0.500 0.500

Summary:
**SG**: F-43m
**E above lowest polymorph**: 0.34 eV per formula unit
**Crystal system**: cubic

***

Record 6
Compound: Pr2Ho2CI3Br2
Source: OQMD
Functional: PBE
Structure: optimized geometry

Cell lengths 9.694, 9.694, 8.895 Å; angles 102.26, 102.26, 23.85 degrees
Element x y z (fractional)
1 Pr 0.000 0.000 0.196
2 Pr 0.000 0.000 0.804
3 Ho 0.370 0.370 0.935
4 Ho 0.630 0.630 0.065
5 C 0.500 0.500 0.000
6 I 0.173 0.173 0.838
7 I 0.500 0.500 0.500
8 I 0.827 0.827 0.162
9 Br 0.163 0.163 0.301
10 Br 0.837 0.837 0.699

Summary:
**SG**: C2/m
**E above lowest polymorph**: 0.00 eV per formula unit
**Crystal system**: monoclinic

***

Record 7
Compound: Y2Tm
Source: OQMD
Functional: PBE
Structure: optimized geometry

Cell lengths 10.105, 10.105, 10.105 Å; angles 60.00, 60.00, 60.00 degrees
Element x y z (fractional)
1 Y 0.000 0.000 0.000
2 Y 0.000 0.000 0.500
3 Y 0.000 0.500 0.000
4 Y 0.500 0.000 0.000
5 Tm 0.125 0.125 0.125
6 Tm 0.875 0.875 0.875

Summary:
**Energy of formation from the pure elements**: 7.761 eV per formula unit
**SG**: Fd-3m
**E above lowest polymorph**: 7.67 eV per formula unit
**Crystal system**: cubic

***

Record 8
Compound: Zr2TcPd
Source: OQMD
Functional: PBE
Structure: optimized geometry

Cell lengths 4.691, 4.691, 4.691 Å; angles 60.00, 60.00, 60.00 degrees
Element x y z (fractional)
1 Zr 0.250 0.250 0.250
2 Zr 0.750 0.750 0.750
3 Tc 0.000 0.000 0.000
4 Pd 0.500 0.500 0.500

Summary:
**Energy of formation from the pure elements**: -2.097 eV per formula unit
**SG**: Fm-3m
**E above lowest polymorph**: 0.22 eV per formula unit
**Crystal system**: cubic

***

Record 9
Compound: NdZn2Cu2Pt
Source: OQMD
Functional: PBE
Structure: optimized geometry

Cell lengths 5.369, 5.369, 4.144 Å; angles 90.00, 90.00, 122.29 degrees
Element x y z (fractional)
1 Nd 0.000 0.000 0.000
2 Zn 0.000 0.500 0.500
3 Zn 0.500 0.000 0.500
4 Cu 0.323 0.677 0.000
5 Cu 0.677 0.323 0.000
6 Pt 0.500 0.500 0.500

Summary:
**Energy of formation from the pure elements**: -2.753 eV per formula unit
**SG**: Cmmm
**Crystal system**: orthorhombic

***

Record 10
Compound: BaMgZn2Au
Source: OQMD
Functional: PBE
Structure: optimized geometry

Cell lengths 6.599, 6.599, 6.599 Å; angles 139.02, 139.02, 59.35 degrees
Element x y z (fractional)
1 Ba 0.000 0.000 0.000
2 Mg 0.624 0.624 0.000
3 Zn 0.259 0.759 0.500
4 Zn 0.759 0.259 0.500
5 Au 0.385 0.385 0.000

Summary:
**SG**: I4mm
**Crystal system**: tetragonal

***

Record 11
Compound: GdTlCdTe3
Source: OQMD
Functional: PBE
Structure: optimized geometry

Cell lengths 8.862, 4.487, 11.209 Å; angles 90.00, 107.41, 90.00 degrees
Element x y z (fractional)
1 Gd 0.188 0.250 0.140
2 Gd 0.812 0.750 0.860
3 Tl 0.248 0.750 0.723
4 Tl 0.752 0.250 0.277
5 Cd 0.423 0.750 0.389
6 Cd 0.577 0.250 0.611
7 Te 0.055 0.250 0.854
8 Te 0.246 0.250 0.443
9 Te 0.435 0.750 0.141
10 Te 0.565 0.250 0.859
11 Te 0.754 0.750 0.557
12 Te 0.945 0.750 0.146

Summary:
**SG**: P2_1/m
**E above lowest polymorph**: 0.07 eV per formula unit
**Crystal system**: monoclinic

***

Record 12
Compound: Y4Au2I
Source: OQMD
Functional: PBE
Structure: optimized geometry

Cell lengths 5.032, 5.032, 7.491 Å; angles 90.00, 90.00, 90.00 degrees
Element x y z (fractional)
1 Y 0.000 0.500 0.233
2 Y 0.000 0.500 0.767
3 Y 0.500 0.000 0.233
4 Y 0.500 0.000 0.767
5 Au 0.000 0.000 0.000
6 Au 0.500 0.500 0.500
7 I 0.000 0.000 0.500

Summary:
**SG**: P4/mmm
**Crystal system**: tetragonal

***

Record 13
Compound: HoErTl4
Source: OQMD
Functional: PBE
Structure: optimized geometry

Cell lengths 4.658, 7.639, 7.639 Å; angles 35.65, 90.00, 90.00 degrees
Element x y z (fractional)
1 Ho 0.000 0.000 0.000
2 Er 0.000 0.690 0.690
3 Tl 0.000 0.345 0.345
4 Tl 0.500 0.168 0.168
5 Tl 0.500 0.521 0.521
6 Tl 0.500 0.845 0.845

Summary:
**SG**: Amm2
**Crystal system**: orthorhombic

***

Record 14
Compound: ScCdAg2
Source: OQMD
Functional: PBE
Structure: optimized geometry

Cell lengths 4.910, 6.375, 4.967 Å; angles 90.00, 90.00, 90.00 degrees
Element x y z (fractional)
1 Sc 0.250 0.250 0.191
2 Sc 0.750 0.750 0.809
3 Cd 0.250 0.750 0.198
4 Cd 0.750 0.250 0.802
5 Ag 0.250 0.502 0.690
6 Ag 0.250 0.998 0.690
7 Ag 0.750 0.002 0.310
8 Ag 0.750 0.498 0.310

Summary:
**Energy of formation from the pure elements**: -1.026 eV per formula unit
**SG**: Pmmn
**Crystal system**: orthorhombic

***

Record 15
Compound: Er2NbAs6
Source: OQMD
Functional: PBE
Structure: optimized geometry

Cell lengths 6.487, 6.487, 6.487 Å; angles 60.00, 60.00, 60.00 degrees
Element x y z (fractional)
1 Er 0.250 0.250 0.250
2 Er 0.750 0.750 0.750
3 Nb 0.000 0.000 0.000
4 As 0.277 0.277 0.723
5 As 0.277 0.723 0.277
6 As 0.277 0.723 0.723
7 As 0.723 0.277 0.277
8 As 0.723 0.277 0.723
9 As 0.723 0.723 0.277

Summary:
**SG**: Fm-3m
**Crystal system**: cubic

***

Record 16
Compound: NaLiPm
Source: OQMD
Functional: PBE
Structure: optimized geometry

Cell lengths 5.119, 5.119, 5.119 Å; angles 60.00, 60.00, 60.00 degrees
Element x y z (fractional)
1 Na 0.000 0.000 0.000
2 Li 0.250 0.250 0.250
3 Pm 0.500 0.500 0.500

Summary:
**SG**: F-43m
**E above lowest polymorph**: 0.00 eV per formula unit
**Crystal system**: cubic

***

Record 17
Compound: TmCd
Source: OQMD
Functional: PBE
Structure: optimized geometry

Cell lengths 4.729, 4.729, 4.729 Å; angles 60.00, 60.00, 60.00 degrees
Element x y z (fractional)
1 Tm 0.000 0.000 0.000
2 Cd 0.250 0.250 0.250

Summary:
**Energy of formation from the pure elements**: 1.440 eV per formula unit
**SG**: F-43m
**Crystal system**: cubic

***

Record 18
Compound: AgSnNO
Source: OQMD
Functional: PBE
Structure: optimized geometry

Cell lengths 4.058, 4.058, 8.594 Å; angles 90.00, 90.00, 90.00 degrees
Element x y z (fractional)
1 Ag 0.250 0.750 0.000
2 Ag 0.750 0.250 0.000
3 Sn 0.250 0.250 0.373
4 Sn 0.750 0.750 0.627
5 N 0.250 0.250 0.927
6 N 0.750 0.750 0.073
7 O 0.250 0.750 0.500
8 O 0.750 0.250 0.500

Summary:
**SG**: P4/nmm
**E above lowest polymorph**: 1.79 eV per formula unit
**Crystal system**: tetragonal

***

Record 19
Compound: CdAs
Source: OQMD
Functional: PBE
Structure: optimized geometry

Cell lengths 3.976, 3.976, 3.976 Å; angles 60.00, 60.00, 60.00 degrees
Element x y z (fractional)
1 Cd 0.000 0.000 0.000
2 As 0.500 0.500 0.500

Summary:
**SG**: Fm-3m
**E above lowest polymorph**: 0.09 eV per formula unit
**Crystal system**: cubic

***

Record 20
Compound: ErAuSeO
Source: OQMD
Functional: PBE
Structure: optimized geometry

Cell lengths 4.207, 6.325, 6.500 Å; angles 90.00, 90.00, 90.00 degrees
Element x y z (fractional)
1 Er 0.000 0.188 0.000
2 Er 0.000 0.812 0.500
3 Au 0.500 0.270 0.644
4 Au 0.500 0.730 0.144
5 Se 0.500 0.347 0.244
6 Se 0.500 0.653 0.744
7 O 0.000 0.072 0.694
8 O 0.000 0.928 0.194

Summary:
**SG**: Pmc2_1
**E above lowest polymorph**: 1.92 eV per formula unit
**Crystal system**: orthorhombic

***

| no. | energy (eV/atom) |
| --- | --- |
| 1 | -4.199 |
| 2 | -5.341 |
| 3 | -7.185 |
| 4 | -8.430 |
| 5 | -5.312 |
| 6 | -4.823 |
| 7 | -3.215 |
| 8 | -8.682 |
| 9 | -3.923 |
| 10 | -2.148 |
| 11 | -3.705 |
| 12 | -5.352 |
| 13 | -3.343 |
| 14 | -3.475 |
| 15 | -5.512 |
| 16 | -2.098 |
| 17 | -1.965 |
| 18 | -4.733 |
| 19 | -2.657 |
| 20 | -5.510 |